## DyMgZnHg (PBE)

Data for a relaxed structure of DyMgZnHg. Values from VASP.

```
&SYSTEM
  ibrav = 0, nat = 4, ntyp = 4
/
ATOMIC_SPECIES
Dy 162.50 Dy.upf
Mg 24.30 Mg.upf
Zn 65.41 Zn.upf
Hg 200.59 Hg.upf
CELL_PARAMETERS angstrom
0.000 3.508 3.508
3.508 0.000 3.508
3.508 3.508 0.000
ATOMIC_POSITIONS angstrom
Dy 0.000 0.000 0.000
Mg 3.508 3.508 3.508
Zn 1.754 1.754 1.754
Hg 5.262 5.262 5.262
```

Symmetry   F-43m (216)
Magnetization   0.000 μB/atom
Electronic total energy   -2.326 eV per atom
ΔH_f (0 K)   -383 meV per atom
V   86.4 Å³/cell
D(E_F)   1.8 states/eV/f.u.